The following is a DFT calculation (PBE-GGA) of crystalline Na2Sn3Au at its relaxed geometry.

Computed properties:
Space-group type: Pmm2, No. 25
DOS(E_F): 0.22 states/eV per atom
ρ: 6.7 g cm⁻³
Raw total energy: -3.2023 eV/atom
M_tot: 0.0 μB per formula unit
Relative energy among the computed polymorphs: 61 meV/atom
Formation enthalpy at 0 K: -0.215 eV/atom

abc: 3.258 4.998 9.143
angles: 90.00 90.00 90.00
Sites, in units of the cell vectors:
Na  0.000  0.500  0.023
Na  0.000  0.000  0.485
Sn  0.500  0.000  0.836
Sn  0.500  0.000  0.182
Sn  0.500  0.500  0.644
Au  0.500  0.500  0.331

---

The following is a DFT calculation (PBE-GGA) of crystalline SmEr2Ga6 at its relaxed geometry.

Computed properties:
Space-group type: P6/mmm, No. 191
DOS(E_F): 0.65 states/eV per atom
ρ: 7.9 g cm⁻³
Raw total energy: -4.1814 eV/atom
M_tot: 0.0 μB per formula unit
Relative energy among the computed polymorphs: 0 meV/atom
Formation enthalpy at 0 K: -0.625 eV/atom

abc: 4.128 7.293 7.293
angles: 120.00 90.00 90.00
Sites, in units of the cell vectors:
Sm  0.000  0.000  0.000
Er  0.000  0.333  0.667
Er  0.000  0.667  0.333
Ga  0.500  0.334  0.334
Ga  0.500  0.666  0.666
Ga  0.500  0.000  0.666
Ga  0.500  0.666  0.000
Ga  0.500  0.334  0.000
Ga  0.500  0.000  0.334

---

The following is a DFT calculation (PBE-GGA) of crystalline Sm2ZnCu16 at its relaxed geometry.

Computed properties:
Space-group type: R3m, No. 160
DOS(E_F): 0.47 states/eV per atom
ρ: 8.5 g cm⁻³
Raw total energy: -4.1392 eV/atom
M_tot: 0.0 μB per formula unit
Formation enthalpy at 0 K: -0.126 eV/atom

abc: 6.510 6.510 6.510
angles: 82.78 82.78 82.78
Sites, in units of the cell vectors:
Sm  0.652  0.652  0.652
Sm  0.341  0.341  0.341
Zn  0.902  0.902  0.902
Cu  0.706  0.001  0.296
Cu  0.001  0.296  0.706
Cu  0.296  0.706  0.001
Cu  0.001  0.706  0.296
Cu  0.706  0.296  0.001
Cu  0.296  0.001  0.706
Cu  0.345  0.847  0.345
Cu  0.847  0.345  0.345
Cu  0.345  0.345  0.847
Cu  0.654  0.155  0.654
Cu  0.155  0.654  0.654
Cu  0.654  0.654  0.155
Cu  0.001  0.500  0.001
Cu  0.500  0.001  0.001
Cu  0.001  0.001  0.500
Cu  0.099  0.099  0.099

---

The following is a DFT calculation (PBE-GGA) of crystalline CrRe14 at its relaxed geometry.

Computed properties:
Space-group type: P4_2/mnm, No. 136
DOS(E_F): 0.90 states/eV per atom
ρ: 19.6 g cm⁻³
Raw total energy: -12.1926 eV/atom
M_tot: 0.0 μB per formula unit
Formation enthalpy at 0 K: 0.067 eV/atom

abc: 9.467 9.467 5.022
angles: 90.00 90.00 90.00
Sites, in units of the cell vectors:
Cr  0.000  0.000  0.000
Cr  0.500  0.500  0.500
Re  0.407  0.593  0.000
Re  0.593  0.407  0.000
Re  0.907  0.907  0.500
Re  0.093  0.093  0.500
Re  0.138  0.534  0.000
Re  0.862  0.466  0.000
Re  0.966  0.638  0.500
Re  0.034  0.362  0.500
Re  0.362  0.034  0.500
Re  0.638  0.966  0.500
Re  0.534  0.138  0.000
Re  0.466  0.862  0.000
Re  0.063  0.257  0.000
Re  0.937  0.743  0.000
Re  0.243  0.563  0.500
Re  0.757  0.437  0.500
Re  0.437  0.757  0.500
Re  0.563  0.243  0.500
Re  0.257  0.063  0.000
Re  0.743  0.937  0.000
Re  0.318  0.318  0.249
Re  0.682  0.682  0.249
Re  0.182  0.818  0.749
Re  0.818  0.182  0.749
Re  0.182  0.818  0.251
Re  0.818  0.182  0.251
Re  0.318  0.318  0.751
Re  0.682  0.682  0.751

---

The following is a DFT calculation (PBE-GGA) of crystalline ErGa4NiRh2 at its relaxed geometry.

Computed properties:
Space-group type: R-3m, No. 166
DOS(E_F): 0.66 states/eV per atom
ρ: 9.1 g cm⁻³
Raw total energy: -5.2437 eV/atom
M_tot: 0.0 μB per formula unit
Formation enthalpy at 0 K: -0.599 eV/atom

abc: 4.210 4.210 8.777
angles: 76.12 76.12 60.00
Sites, in units of the cell vectors:
Er  0.000  0.000  0.000
Ga  0.399  0.399  0.802
Ga  0.868  0.868  0.397
Ga  0.132  0.132  0.603
Ga  0.601  0.601  0.198
Ni  0.500  0.500  0.500
Rh  0.765  0.765  0.704
Rh  0.235  0.235  0.296

---

The following is a DFT calculation (PBE-GGA) of crystalline Ce2SmSeO4 at its relaxed geometry.

Computed properties:
Space-group type: P4/mmm, No. 123
Raw formation energy: -3.18 eV/atom
DOS(E_F): 0.98 states/eV per atom
ρ: 6.9 g cm⁻³
Raw total energy: -8.1707 eV/atom
M_tot: 1.1 μB per formula unit

abc: 3.931 3.931 8.972
angles: 90.00 90.00 90.00
Last column: magnetic moment on the atom in μB.
Sites, in units of the cell vectors:
Ce  0.500  0.500  0.282  0.53
Ce  0.500  0.500  0.718  0.53
Sm  0.000  0.000  0.000  0.01
Se  0.000  0.000  0.500  -0.03
O  0.000  0.500  0.160  -0.02
O  0.500  0.000  0.840  -0.02
O  0.500  0.000  0.160  -0.02
O  0.000  0.500  0.840  -0.02

---

The following is a DFT calculation (PBE-GGA) of crystalline CaHoAl at its relaxed geometry.

Computed properties:
Space-group type: I4/mmm, No. 139
DOS(E_F): 0.79 states/eV per atom
ρ: 4.4 g cm⁻³
Raw total energy: -3.5832 eV/atom
M_tot: 0.0 μB per formula unit
Relative energy among the computed polymorphs: 25 meV/atom
Formation enthalpy at 0 K: -0.143 eV/atom

abc: 3.509 3.509 14.576
angles: 96.91 96.91 90.00
Sites, in units of the cell vectors:
Ho  0.296  0.296  0.592
Ho  0.704  0.704  0.408
Al  0.138  0.138  0.275
Al  0.862  0.862  0.725
Ca  0.568  0.568  0.136
Ca  0.432  0.432  0.864

---

The following is a DFT calculation (PBE-GGA) of crystalline Sn4Br4Cl3 at its relaxed geometry.

Computed properties:
Space-group type: Immm, No. 71
Raw formation energy: -0.68 eV/atom
DOS(E_F): 0.16 states/eV per atom
ρ: 4.7 g cm⁻³
Raw total energy: -3.2524 eV/atom
M_tot: 0.0 μB per formula unit

abc: 3.862 9.604 10.058
angles: 118.52 101.07 90.00
Sites, in units of the cell vectors:
Sn  0.273  0.773  0.545
Sn  0.727  0.227  0.455
Sn  0.500  0.737  0.000
Sn  0.500  0.263  0.000
Br  0.333  0.145  0.665
Br  0.667  0.480  0.335
Br  0.667  0.855  0.335
Br  0.333  0.520  0.665
Cl  0.108  0.108  0.216
Cl  0.892  0.892  0.784
Cl  0.000  0.500  0.000

---

The following is a DFT calculation (PBE-GGA) of crystalline CsSmAg2Br6 at its relaxed geometry.

Computed properties:
Space-group type: C2/c, No. 15
Raw formation energy: -1.17 eV/atom
DOS(E_F): 0.00 states/eV per atom
ρ: 3.8 g cm⁻³
Raw total energy: -3.2991 eV/atom
M_tot: 0.0 μB per formula unit

abc: 9.125 10.210 10.210
angles: 85.54 71.22 71.22
Sites, in units of the cell vectors:
Cs  0.250  0.831  0.169
Cs  0.750  0.169  0.831
Sm  0.250  0.182  0.818
Sm  0.750  0.818  0.182
Ag  0.354  0.623  0.545
Ag  0.146  0.455  0.377
Ag  0.646  0.377  0.455
Ag  0.854  0.545  0.623
Br  0.171  0.948  0.816
Br  0.329  0.184  0.052
Br  0.829  0.052  0.184
Br  0.671  0.816  0.948
Br  0.475  0.842  0.404
Br  0.025  0.596  0.158
Br  0.525  0.158  0.596
Br  0.975  0.404  0.842
Br  0.042  0.709  0.545
Br  0.458  0.455  0.291
Br  0.958  0.291  0.455
Br  0.542  0.545  0.709

---

The following is a DFT calculation (PBE-GGA) of crystalline PaCdAgI6 at its relaxed geometry.

Computed properties:
Space-group type: P-31c, No. 163
Raw formation energy: -0.60 eV/atom
DOS(E_F): 0.22 states/eV per atom
ρ: 4.7 g cm⁻³
Raw total energy: -3.1050 eV/atom
M_tot: 0.1 μB per formula unit

abc: 7.541 7.541 17.354
angles: 90.00 90.00 120.00
Last column: magnetic moment on the atom in μB.
Sites, in units of the cell vectors:
Pa  0.667  0.333  0.250  0.11
Pa  0.333  0.667  0.750  0.11
Cd  0.000  0.000  0.000  0.00
Cd  0.000  0.000  0.500  0.00
Ag  0.333  0.667  0.250  0.00
Ag  0.667  0.333  0.750  0.00
I  0.659  0.648  0.149  0.00
I  0.989  0.341  0.149  0.00
I  0.341  0.989  0.649  0.00
I  0.011  0.659  0.851  0.00
I  0.352  0.341  0.351  0.00
I  0.989  0.648  0.351  0.00
I  0.648  0.989  0.851  0.00
I  0.659  0.011  0.351  0.00
I  0.011  0.352  0.649  0.00
I  0.352  0.011  0.149  0.00
I  0.648  0.659  0.649  0.00
I  0.341  0.352  0.851  0.00

---

The following is a DFT calculation (PBE-GGA) of crystalline Te2PbSI at its relaxed geometry.

Computed properties:
Space-group type: P4/mmm, No. 123
Raw formation energy: 0.81 eV/atom
DOS(E_F): 1.29 states/eV per atom
ρ: 4.6 g cm⁻³
Raw total energy: -2.3189 eV/atom
M_tot: 4.2 μB per formula unit
Relative energy among the computed polymorphs: 639 meV/atom

abc: 6.020 6.020 6.196
angles: 90.00 90.00 90.00
Last column: magnetic moment on the atom in μB.
Sites, in units of the cell vectors:
Pb  0.000  0.000  0.000  0.00
I  0.000  0.000  0.500  0.20
S  0.500  0.500  0.500  1.11
Te  0.000  0.500  0.000  0.55
Te  0.500  0.000  0.000  0.55

---

The following is a DFT calculation (PBE-GGA) of crystalline Hf2FeSn at its relaxed geometry.

Computed properties:
Space-group type: Cmcm, No. 63
DOS(E_F): 0.83 states/eV per atom
ρ: 11.1 g cm⁻³
Raw total energy: -8.1573 eV/atom
M_tot: 1.1 μB per formula unit
Formation enthalpy at 0 K: -0.064 eV/atom

abc: 3.785 4.724 9.058
angles: 90.00 102.10 90.00
Last column: magnetic moment on the atom in μB.
Sites, in units of the cell vectors:
Hf  0.259  0.250  0.518  0.01
Hf  0.741  0.750  0.482  0.01
Hf  0.915  0.250  0.831  -0.24
Hf  0.085  0.750  0.169  -0.24
Fe  0.500  0.000  0.000  1.42
Fe  0.500  0.500  0.000  1.42
Sn  0.632  0.250  0.263  -0.01
Sn  0.368  0.750  0.737  -0.01